(1)
## BaY2As (SCAN)

Data for a crystal of BaY2As relaxed with PBEsol.

Values from the calculation:
formation energy: -507 meV/atom
symmetry: Cmmm
uncorrected energy: -29.364 eV per atom
D(E_F): 4.02 states/eV per cell
volume: 125 Å³/cell

Cell lengths 3.638, 3.638, 9.514 Å; angles 90.00, 90.00, 97.03 degrees
Fractional positions:
Y  0.000  0.000  0.330
Y  0.000  0.000  0.670
As  0.500  0.500  0.500
Ba  0.500  0.500  0.000

---

(2)
## MnCuO3 (SCAN)

Data for a crystal of MnCuO3 relaxed with PBEsol.

Values from the calculation:
formation energy from raw total energies: -1.553 eV/atom
symmetry: R-3
uncorrected energy: -11.982 eV per atom
D(E_F): 5.57 states/eV per cell
volume: 93 Å³/cell

Cell lengths 4.874, 4.874, 5.325 Å; angles 62.77, 62.77, 60.00 degrees
Site moments in Bohr magnetons follow the coordinates.
Fractional positions:
Mn  0.345  0.345  0.966  2.75
Mn  0.655  0.655  0.034  2.75
O  0.062  0.447  0.767  -0.07
O  0.447  0.723  0.767  -0.07
O  0.723  0.062  0.767  -0.07
O  0.938  0.553  0.233  -0.07
O  0.277  0.938  0.233  -0.07
O  0.553  0.277  0.233  -0.07
Cu  0.142  0.142  0.574  -0.58
Cu  0.858  0.858  0.426  -0.58

---

(3)
## MgZn2MoRh (SCAN)

Data for a crystal of MgZn2MoRh relaxed with PBEsol.

Values from the calculation:
formation energy: 871 meV/atom
symmetry: P4/mmm
uncorrected energy: -19.261 eV per atom
D(E_F): 3.68 states/eV per cell
volume: 106 Å³/cell

Cell lengths 4.552, 4.819, 4.819 Å; angles 90.00, 90.00, 90.00 degrees
Fractional positions:
Mg  0.500  0.500  0.500
Mo  0.000  0.000  0.000
Rh  0.500  0.000  0.000
Zn  0.000  0.000  0.500
Zn  0.000  0.500  0.000

---

(4)
## MgCdAg2 (SCAN)

Data for a crystal of MgCdAg2 relaxed with PBEsol.

Values from the calculation:
formation energy: -122 meV/atom
symmetry: C2/m
uncorrected energy: -24.653 eV per atom
D(E_F): 1.03 states/eV per cell
volume: 72 Å³/cell

Cell lengths 2.997, 5.013, 5.126 Å; angles 100.68, 90.00, 107.39 degrees
Fractional positions:
Mg  0.500  0.000  0.000
Ag  0.752  0.504  0.754
Ag  0.248  0.496  0.246
Cd  0.000  0.000  0.500

---

(5)
## SiTe2 (SCAN)

Data for a crystal of SiTe2 relaxed with PBEsol.

Values from the calculation:
formation energy from raw total energies: 0.300 eV/atom
symmetry: P4_2/mnm
uncorrected energy: -27.872 eV per atom
D(E_F): 3.52 states/eV per cell
volume: 163 Å³/cell

Cell lengths 3.982, 6.406, 6.406 Å; angles 90.00, 90.00, 90.00 degrees
Fractional positions:
Si  0.000  0.500  0.500
Si  0.500  0.000  0.000
Te  0.000  0.800  0.800
Te  0.000  0.200  0.200
Te  0.500  0.700  0.300
Te  0.500  0.300  0.700

---

(6)
## Mn5P (SCAN)

Data for a crystal of Mn5P relaxed with PBEsol.

Values from the calculation:
formation energy: -266 meV/atom
symmetry: Cmmm
uncorrected energy: -17.212 eV per atom
D(E_F): 3.58 states/eV per cell
volume: 63 Å³/cell
offset from the most stable computed form: 0 meV per atom

Cell lengths 3.560, 3.567, 5.306 Å; angles 90.00, 109.60, 90.00 degrees
Site moments in Bohr magnetons follow the coordinates.
Fractional positions:
P  0.500  0.000  0.000  -0.07
Mn  0.330  0.500  0.660  2.14
Mn  0.170  0.000  0.340  -1.94
Mn  0.000  0.500  0.000  2.70
Mn  0.830  0.000  0.660  -1.94
Mn  0.670  0.500  0.340  2.14

---

(7)
## LiSn3Br (SCAN)

Data for a crystal of LiSn3Br relaxed with PBEsol.

Values from the calculation:
formation energy from raw total energies: 0.197 eV/atom
symmetry: Pm-3m
uncorrected energy: -25.726 eV per atom
D(E_F): 4.93 states/eV per cell
volume: 130 Å³/cell

Cell lengths 5.060, 5.060, 5.060 Å; angles 90.00, 90.00, 90.00 degrees
Fractional positions:
Sn  0.000  0.500  0.000
Sn  0.000  0.000  0.500
Sn  0.500  0.000  0.000
Br  0.500  0.500  0.500
Li  0.000  0.000  0.000

---

(8)
## ReAg2Pt (SCAN)

Data for a crystal of ReAg2Pt relaxed with PBEsol.

Values from the calculation:
formation energy: 376 meV/atom
symmetry: Pmmm
uncorrected energy: -50.630 eV per atom
D(E_F): 2.40 states/eV per cell
volume: 63 Å³/cell
offset from the most stable computed form: 0 meV per atom

Cell lengths 2.713, 4.718, 4.916 Å; angles 90.00, 90.00, 90.00 degrees
Site moments in Bohr magnetons follow the coordinates.
Fractional positions:
Re  0.000  0.500  0.500  0.56
Pt  0.500  0.000  0.500  0.08
Ag  0.000  0.000  0.000  -0.01
Ag  0.500  0.500  0.000  0.01

---

(9)
## La3RuN (SCAN)

Data for a crystal of La3RuN relaxed with PBEsol.

Values from the calculation:
formation energy from raw total energies: 0.504 eV/atom
symmetry: Pm-3m
uncorrected energy: -34.182 eV per atom
D(E_F): 3.58 states/eV per cell
volume: 146 Å³/cell

Cell lengths 5.271, 5.271, 5.271 Å; angles 90.00, 90.00, 90.00 degrees
Fractional positions:
Ru  0.000  0.000  0.000
N  0.500  0.500  0.500
La  0.000  0.500  0.000
La  0.000  0.000  0.500
La  0.500  0.000  0.000

---

(10)
## MnGePbO2 (SCAN)

Data for a crystal of MnGePbO2 relaxed with PBEsol.

Values from the calculation:
formation energy from raw total energies: 0.197 eV/atom
symmetry: P4/mmm
uncorrected energy: -24.921 eV per atom
D(E_F): 2.95 states/eV per cell
volume: 96 Å³/cell

Cell lengths 4.108, 4.108, 5.688 Å; angles 90.00, 90.00, 90.00 degrees
Site moments in Bohr magnetons follow the coordinates.
Fractional positions:
Pb  0.000  0.000  0.000  -0.01
Ge  0.000  0.000  0.500  -0.24
Mn  0.500  0.500  0.500  4.45
O  0.000  0.500  0.000  -0.04
O  0.500  0.000  0.000  -0.04

---

(11)
## LiSbS2 (SCAN)

Data for a crystal of LiSbS2 relaxed with PBEsol.

Values from the calculation:
formation energy from raw total energies: -0.735 eV/atom
symmetry: R-3
uncorrected energy: -15.462 eV per atom
volume: 499 Å³/cell

Cell lengths 8.515, 8.515, 8.515 Å; angles 108.04, 108.04, 108.04 degrees
Fractional positions:
Li  0.915  0.309  0.756
Li  0.085  0.691  0.244
Li  0.691  0.244  0.085
Li  0.244  0.085  0.691
Li  0.309  0.756  0.915
Li  0.756  0.915  0.309
Sb  0.846  0.617  0.554
Sb  0.617  0.554  0.846
Sb  0.554  0.846  0.617
Sb  0.154  0.383  0.446
Sb  0.383  0.446  0.154
Sb  0.446  0.154  0.383
S  0.416  0.841  0.261
S  0.261  0.416  0.841
S  0.159  0.739  0.584
S  0.841  0.261  0.416
S  0.584  0.159  0.739
S  0.739  0.584  0.159
S  0.132  0.053  0.362
S  0.362  0.132  0.053
S  0.053  0.362  0.132
S  0.868  0.947  0.638
S  0.638  0.868  0.947
S  0.947  0.638  0.868

---

(12)
## Y2ReNi (SCAN)

Data for a crystal of Y2ReNi relaxed with PBEsol.

Values from the calculation:
formation energy: 446 meV/atom
symmetry: F-43m
uncorrected energy: -35.293 eV per atom
D(E_F): 5.27 states/eV per cell
volume: 72 Å³/cell

Cell lengths 4.673, 4.673, 4.673 Å; angles 60.00, 60.00, 60.00 degrees
Fractional positions:
Ni  0.500  0.500  0.500
Re  0.750  0.750  0.750
Y  0.000  0.000  0.000
Y  0.250  0.250  0.250

---

What is the formula in the sixth record?
Mn5P

---

What did the sixth record say?
## Mn5P (SCAN)

Data for a crystal of Mn5P relaxed with PBEsol.

Values from the calculation:
formation energy: -266 meV/atom
symmetry: Cmmm
uncorrected energy: -17.212 eV per atom
D(E_F): 3.58 states/eV per cell
volume: 63 Å³/cell
offset from the most stable computed form: 0 meV per atom

Cell lengths 3.560, 3.567, 5.306 Å; angles 90.00, 109.60, 90.00 degrees
Site moments in Bohr magnetons follow the coordinates.
Fractional positions:
P  0.500  0.000  0.000  -0.07
Mn  0.330  0.500  0.660  2.14
Mn  0.170  0.000  0.340  -1.94
Mn  0.000  0.500  0.000  2.70
Mn  0.830  0.000  0.660  -1.94
Mn  0.670  0.500  0.340  2.14